[1]
26
Lattice="-9.143 -2.794 0.322 -1.922 -9.319 6.649 -5.681 3.368 10.017" Properties=species:S:1:pos:R:3 comment="PBE-GGA HfCu3I9, relaxed" spacegroup="Cc, No. 9" raw_formation_energy_ev_per_atom=-0.357 pbc="T T T"
Cu -12.135 -5.177 10.654
Cu -4.846 -3.543 6.191
Cu -10.016 -2.716 2.380
Cu -9.951 -1.758 9.244
Cu -6.560 -5.880 14.451
Cu -6.600 -7.652 7.509
I -4.969 -3.049 8.726
I -10.321 -4.257 9.131
I -5.735 1.113 7.363
I -4.906 -9.520 7.323
I -6.901 -4.050 12.644
I -13.842 -3.496 11.635
I -6.685 -5.153 7.035
I -9.776 -4.633 4.193
I -7.980 -8.237 5.324
I -11.401 -9.668 9.931
I -8.849 -0.804 11.602
I -2.668 -4.867 5.637
I -11.146 -6.865 12.441
I -11.306 0.353 8.816
I -5.702 -1.871 4.402
I -10.033 -11.514 7.287
I -8.624 -1.516 6.964
I -7.892 -7.430 9.950
Hf -1.053 -4.629 3.337
Hf -9.274 -8.955 11.826

=====

[2]
10
Lattice="-4.052 0.863 -3.306 -5.445 -8.912 4.348 2.753 7.011 2.706" Properties=species:S:1:pos:R:3 comment="PBE-GGA TbTm4Sc5, relaxed" relative_energy_ev_per_atom=0.000 ef_ev_per_fu=2.629 spacegroup="C2/m, No. 12" pbc="T T T"
Tm -1.855 -1.544 1.871
Tm -0.165 4.448 1.364
Tm -4.889 0.506 1.876
Tm -6.579 -5.485 2.384
Sc -6.374 -2.429 2.931
Sc -3.608 -4.017 3.374
Sc -3.136 2.980 0.374
Sc -1.996 2.987 3.227
Sc -0.370 1.391 0.817
Tb -4.718 -1.469 5.400

=====

[3]
13
Lattice="5.553 -0.001 1.866 2.461 4.978 1.866 0.935 0.581 6.383" Properties=species:S:1:pos:R:3 comment="PBE-GGA AcH8Pd4, relaxed" e_tot_ev_per_atom=-4.093 spacegroup="C2/m, No. 12" pbc="T T T"
H 2.479 1.539 6.175
H 2.404 1.493 2.042
H 3.568 4.022 2.962
H 5.382 1.535 7.152
H 5.187 1.415 2.962
H 3.762 4.142 7.152
H 6.546 4.065 8.072
H 6.470 4.018 3.939
Pd 6.784 2.488 2.799
Pd 2.461 4.978 1.866
Pd 4.943 3.069 8.249
Pd 3.712 0.580 7.316
Ac 4.475 2.779 5.057

=====

[4]
5
Lattice="4.775 0.000 0.000 0.000 4.775 0.000 0.000 0.000 4.775" Properties=species:S:1:pos:R:3 comment="PBE-GGA AlNiAg3, relaxed" relative_energy_ev_per_atom=0.000 ef_ev_per_fu=3.907 spacegroup="Pm-3m, No. 221" pbc="T T T"
Ag 0.000 2.388 0.000
Ag 0.000 0.000 2.388
Ag 2.388 0.000 0.000
Ni 0.000 0.000 0.000
Al 2.388 2.388 2.388

=====

[5]
5
Lattice="4.468 0.000 0.000 0.000 4.468 0.000 0.000 0.000 4.468" Properties=species:S:1:pos:R:3 comment="PBE-GGA ZnFeIr3, relaxed" relative_energy_ev_per_atom=1.829 ef_ev_per_fu=9.807 spacegroup="Pm-3m, No. 221" pbc="T T T"
Ir 0.000 2.234 0.000
Ir 0.000 0.000 2.234
Ir 2.234 0.000 0.000
Fe 2.234 2.234 2.234
Zn 0.000 0.000 0.000

=====

[6]
6
Lattice="-2.181 -2.846 -1.753 5.301 0.187 -2.329 2.267 -4.341 4.218" Properties=species:S:1:pos:R:3 comment="PBE-GGA PaNiTe, relaxed" relative_energy_ev_per_atom=0.000 spacegroup="P-1, No. 2" raw_formation_energy_ev_per_atom=-0.573 pbc="T T T"
Pa 5.168 -5.191 -0.642
Pa 3.655 -1.711 0.132
Te 4.773 -3.886 2.273
Te 4.050 -3.016 -2.783
Ni 2.783 -4.141 0.621
Ni 0.738 -2.948 1.200

=====

[7]
10
Lattice="4.242 0.000 0.000 0.000 4.242 0.000 0.000 0.000 10.026" Properties=species:S:1:pos:R:3 comment="PBE-GGA Ac2Be3SiPt4, relaxed" spacegroup="P-4m2, No. 115" raw_formation_energy_ev_per_atom=-0.854 pbc="T T T"
Ac 2.121 0.000 2.494
Ac 0.000 2.121 7.532
Be 0.000 2.121 1.083
Be 0.000 0.000 5.013
Be 2.121 0.000 8.943
Pt 2.121 0.000 6.246
Pt 0.000 2.121 3.780
Pt 2.121 2.121 0.000
Pt 0.000 0.000 0.000
Si 2.121 2.121 5.013

=====

[8]
10
Lattice="7.123 0.000 0.000 0.000 7.123 0.000 0.000 0.000 2.820" Properties=species:S:1:pos:R:3 comment="PBE-GGA LiTi2Ni2, relaxed" relative_energy_ev_per_atom=0.000 ef_ev_per_fu=-1.143 spacegroup="P4/mbm, No. 127" pbc="T T T"
Ni 6.187 4.498 0.000
Ni 0.936 2.625 0.000
Ni 2.625 6.187 0.000
Ni 4.498 0.936 0.000
Ti 1.159 4.721 1.410
Ti 2.402 1.159 1.410
Ti 5.964 2.402 1.410
Ti 4.721 5.964 1.410
Li 0.000 0.000 0.000
Li 3.562 3.562 0.000

=====

[9]
5
Lattice="-2.411 3.820 -2.225 -2.178 -3.232 -3.189 -4.213 -0.618 3.504" Properties=species:S:1:pos:R:3 comment="PBE-GGA NaNiHgPb2, relaxed" relative_energy_ev_per_atom=0.026 ef_ev_per_fu=0.298 spacegroup="P4/mmm, No. 123" pbc="T T T"
Hg -4.401 -0.015 -0.955
Na -2.106 -0.309 1.752
Pb -1.089 -1.616 -1.594
Pb -1.205 1.910 -1.113
Ni 0.000 0.000 0.000

=====

Number 1: DOS(E_F) 0.10 states/eV/atom. Number 2: DOS(E_F) 2.01 states/eV/atom. Number 3: DOS(E_F) 0.34 states/eV/atom. Number 4: DOS(E_F) 0.80 states/eV/atom. Number 5: DOS(E_F) 2.20 states/eV/atom. Number 6: DOS(E_F) 0.72 states/eV/atom. Number 7: DOS(E_F) 0.63 states/eV/atom. Number 8: DOS(E_F) 0.59 states/eV/atom. Number 9: DOS(E_F) 0.57 states/eV/atom.